Record 1
Compound: Rb2SnTeSe4
Source: Alexandria
Functional: GGA-PBE
Structure: relaxed

```
16
Lattice="-7.632 0.317 -2.016 -4.793 -8.382 1.346 -5.760 2.512 6.724" Properties=species:S:1:pos:R:3 pbc="T T T"
Te -11.001 -2.698 2.523
Te 0.000 0.000 0.000
Se -6.339 -0.714 0.266
Se -15.860 -4.673 4.728
Se -6.801 -6.486 1.906
Se -8.993 -4.594 1.962
Se -4.662 -1.984 2.257
Se -9.390 -0.952 4.039
Se -13.326 -3.578 3.849
Se -7.371 0.766 5.208
Rb -11.949 -1.550 6.295
Rb -4.812 1.364 2.952
Rb -10.052 -3.845 -1.249
Rb -8.581 1.465 1.756
Sn -3.816 0.159 -1.008
Sn -7.185 -2.856 3.531
```

Summary:
Theoretical density   4.16 g cm⁻³
Raw formation energy   -0.52 eV/atom
Space-group type   Fddd, No. 70
E   -54.312 eV/cell
M_tot   0.000 μB/f.u.

=====

Record 2
Compound: RbSn2TeSe6
Source: Alexandria
Functional: GGA-PBE
Structure: relaxed

```
20
Lattice="8.911 0.458 0.475 3.391 8.762 0.808 3.391 0.483 8.786" Properties=species:S:1:pos:R:3 pbc="T T T"
Se 11.543 6.024 5.788
Se 8.604 4.371 4.073
Se 3.594 1.546 0.774
Se 12.541 4.122 9.179
Se 12.098 8.157 9.296
Se 4.149 3.679 4.282
Se 7.606 0.913 5.848
Se 3.151 5.581 0.891
Se 8.086 8.791 4.222
Se 7.088 5.332 5.997
Se 7.643 8.758 8.258
Se 8.049 0.945 1.812
Rb 10.074 2.905 7.140
Rb 5.618 6.799 2.930
Sn 9.055 7.423 6.336
Sn 6.637 2.280 3.734
Sn 2.182 3.418 2.179
Sn 13.510 6.286 7.891
Te 10.074 7.474 2.737
Te 5.618 2.229 7.333
```

Summary:
Theoretical density   4.67 g cm⁻³
Raw formation energy   -0.35 eV/atom
Space-group type   C2/c, No. 15
E   -73.004 eV/cell
M_tot   0.000 μB/f.u.

=====

Record 3
Compound: Rb2ThSnSe5
Source: Alexandria
Functional: GGA-PBE
Structure: relaxed

```
18
Lattice="-1.561 3.582 -1.841 -6.278 -7.467 -4.137 -9.440 1.685 11.285" Properties=species:S:1:pos:R:3 pbc="T T T"
Se -10.530 -2.352 4.355
Se -5.037 -0.154 -1.095
Se -9.646 -5.183 -1.903
Se -11.816 1.175 7.239
Se -8.110 -2.902 1.231
Se -12.093 -2.403 0.513
Se -8.152 3.075 7.830
Se -1.004 -0.543 -0.205
Se -7.852 0.799 3.146
Se -4.821 -3.821 -3.346
Sn -10.133 -4.255 0.315
Sn -10.350 2.627 8.822
Rb -4.922 -0.884 2.454
Rb -13.893 -1.042 4.689
Rb -8.113 -0.240 6.413
Rb -7.796 -2.204 -2.745
Th -3.273 -2.315 -1.728
Th -9.932 -0.613 2.164
```

Summary:
Theoretical density   4.59 g cm⁻³
Raw formation energy   -1.13 eV/atom
Space-group type   Cmc2_1, No. 36
E   -81.911 eV/cell
M_tot   0.000 μB/f.u.

=====

Question: Which of these has the highest E?
Answer: Rb2SnTeSe4